*1*
CeDy6Ho2: relaxed, GGA-PBE.

Cell and atoms, written as POSCAR:
```
CeDy6Ho2
1.0
3.319 -5.807 0.000
3.319 5.807 0.000
-3.283 0.000 14.743
Ce Dy Ho
2 12 4
Direct
0.153 0.847 0.750
0.847 0.153 0.250
0.199 0.229 0.957
0.229 0.199 0.457
0.247 0.711 0.566
0.289 0.753 0.934
0.315 0.643 0.142
0.357 0.685 0.358
0.643 0.315 0.642
0.685 0.357 0.858
0.711 0.247 0.066
0.753 0.289 0.434
0.771 0.801 0.543
0.801 0.771 0.043
0.158 0.322 0.715
0.322 0.158 0.215
0.678 0.842 0.785
0.842 0.678 0.285
```

*2*
CeDy6Ho2: relaxed, GGA-PBE.

Cell and atoms, written as POSCAR:
```
CeDy6Ho2
1.0
3.626 2.094 6.292
-3.626 2.094 6.292
0.000 -4.187 6.292
Ce Dy Ho
1 6 2
Direct
0.000 0.000 0.000
0.290 0.735 0.735
0.459 0.942 0.942
0.735 0.290 0.735
0.735 0.735 0.290
0.942 0.459 0.942
0.942 0.942 0.459
0.261 0.261 0.261
0.438 0.438 0.438
```

Stability order, top to bottom: *1*, *2*

*1*
CeDy3Ho2: relaxed, GGA-PBE.

Cell and atoms, written as POSCAR:
```
CeDy3Ho2
1.0
2.502 -7.490 0.000
2.502 7.490 0.000
0.000 0.000 4.996
Ce Dy Ho
1 3 2
Direct
0.000 0.000 0.000
0.165 0.835 0.500
0.500 0.500 0.500
0.835 0.165 0.500
0.333 0.667 0.000
0.667 0.333 0.000
```

*2*
CeDy3Ho2: relaxed, GGA-PBE.

Cell and atoms, written as POSCAR:
```
CeDy3Ho2
1.0
4.771 -6.499 0.000
4.771 6.499 0.000
0.000 0.000 6.175
Ce Dy Ho
2 6 4
Direct
0.071 0.929 0.500
0.929 0.071 0.000
0.129 0.517 0.689
0.177 0.823 0.033
0.483 0.871 0.689
0.517 0.129 0.189
0.823 0.177 0.533
0.871 0.483 0.189
0.256 0.384 0.219
0.384 0.256 0.719
0.616 0.744 0.219
0.744 0.616 0.719
```

Stability order, top to bottom: *1*, *2*

*1*
CeDy4Ho4: relaxed, GGA-PBE.

Cell and atoms, written as POSCAR:
```
CeDy4Ho4
1.0
-6.229 6.229 1.815
6.229 -6.229 1.815
6.229 6.229 -1.815
Ce Dy Ho
1 4 4
Direct
0.000 0.000 0.000
0.039 0.665 0.704
0.335 0.039 0.374
0.665 0.961 0.626
0.961 0.335 0.296
0.313 0.647 0.960
0.353 0.313 0.665
0.647 0.687 0.335
0.687 0.353 0.040
```

*2*
CeDy4Ho4: relaxed, GGA-PBE.

Cell and atoms, written as POSCAR:
```
CeDy4Ho4
1.0
-5.294 5.294 2.503
5.294 -5.294 2.503
5.294 5.294 -2.503
Ce Dy Ho
1 4 4
Direct
0.000 0.000 0.000
0.000 0.332 0.332
0.000 0.668 0.668
0.332 0.000 0.332
0.668 0.000 0.668
0.335 0.335 0.669
0.335 0.665 0.000
0.665 0.335 0.000
0.665 0.665 0.331
```

Stability order, top to bottom: *2*, *1*

*1*
CeDy3Ho6: relaxed, GGA-PBE.

Cell and atoms, written as POSCAR:
```
CeDy3Ho6
1.0
5.479 -9.364 0.000
5.479 9.364 0.000
0.000 0.000 6.131
Ce Dy Ho
2 6 12
Direct
0.208 0.792 0.500
0.792 0.208 0.000
0.061 0.282 0.697
0.282 0.061 0.197
0.388 0.612 0.581
0.612 0.388 0.081
0.718 0.939 0.697
0.939 0.718 0.197
0.035 0.455 0.275
0.049 0.951 0.727
0.281 0.719 0.014
0.290 0.382 0.117
0.382 0.290 0.617
0.455 0.035 0.775
0.545 0.965 0.275
0.618 0.710 0.117
0.710 0.618 0.617
0.719 0.281 0.514
0.951 0.049 0.227
0.965 0.545 0.775
```

*2*
CeDy3Ho6: relaxed, GGA-PBE.

Cell and atoms, written as POSCAR:
```
CeDy3Ho6
1.0
7.087 -3.224 0.000
7.087 3.224 0.000
-4.965 0.000 7.296
Ce Dy Ho
1 3 6
Direct
0.000 0.000 0.000
0.000 0.000 0.500
0.494 0.494 0.769
0.506 0.506 0.231
0.009 0.496 0.825
0.208 0.208 0.452
0.496 0.009 0.825
0.504 0.991 0.175
0.792 0.792 0.548
0.991 0.504 0.175
```

Stability order, top to bottom: *1*, *2*